Entry 1:
Compound: Pr2ErRh
Source: Alexandria
Functional: PBE
Structure: relaxed

The structure in POSCAR format:
```
Pr2ErRh
1.0
3.650 0.000 0.000
0.000 3.650 0.000
0.000 0.000 8.614
Pr Er Rh
2 1 1
direct
0.000 0.000 0.195 Pr
0.000 0.000 0.805 Pr
0.500 0.500 0.500 Er
0.500 0.500 0.000 Rh
```

Its excess energy over the best structure of this formula in the dataset is 0 meV per atom.

***

Entry 2:
Compound: PrEr5Rh6
Source: Alexandria
Functional: PBE
Structure: relaxed

The structure in POSCAR format:
```
PrEr5Rh6
1.0
4.796 0.000 0.000
0.000 6.966 0.000
-2.388 0.000 7.220
Pr Er Rh
1 5 6
direct
0.000 0.000 0.000 Pr
0.000 0.500 0.000 Er
0.331 0.000 0.663 Er
0.333 0.500 0.666 Er
0.667 0.500 0.334 Er
0.669 0.000 0.337 Er
0.169 0.254 0.339 Rh
0.169 0.746 0.339 Rh
0.500 0.260 0.000 Rh
0.500 0.740 0.000 Rh
0.831 0.254 0.661 Rh
0.831 0.746 0.661 Rh
```

The calculation puts the total energy at -6.84 eV per atom.

***

Entry 3:
Compound: PrEr2Rh3
Source: Alexandria
Functional: PBE
Structure: relaxed

The structure in POSCAR format:
```
PrEr2Rh3
1.0
4.875 0.000 0.000
-2.438 4.222 0.000
0.000 0.000 6.014
Pr Er Rh
1 2 3
direct
0.000 0.000 0.000 Pr
0.333 0.667 0.661 Er
0.667 0.333 0.339 Er
0.000 0.000 0.500 Rh
0.333 0.667 0.181 Rh
0.667 0.333 0.819 Rh
```

Its excess energy over the best structure of this formula in the dataset is 6 meV per atom.

***

Entry 4:
Compound: PrEr4Rh5
Source: Alexandria
Functional: PBE
Structure: relaxed

The structure in POSCAR format:
```
PrEr4Rh5
1.0
3.386 0.000 0.000
0.000 3.386 0.000
0.000 0.000 17.574
Pr Er Rh
1 4 5
direct
0.000 0.000 0.000 Pr
0.000 0.000 0.206 Er
0.000 0.000 0.402 Er
0.000 0.000 0.598 Er
0.000 0.000 0.794 Er
0.500 0.500 0.112 Rh
0.500 0.500 0.305 Rh
0.500 0.500 0.500 Rh
0.500 0.500 0.695 Rh
0.500 0.500 0.888 Rh
```

The calculation puts the total energy at -6.83 eV per atom.

***

Entry 5:
Compound: Pr2ErSb3Rh4
Source: Alexandria
Functional: PBE
Structure: relaxed

The structure in POSCAR format:
```
Pr2ErSb3Rh4
1.0
4.421 0.000 0.000
0.000 4.421 0.000
0.000 0.000 11.357
Pr Er Sb Rh
2 1 3 4
direct
0.000 0.500 0.229 Pr
0.500 0.000 0.771 Pr
0.000 0.000 0.500 Er
0.000 0.500 0.870 Sb
0.500 0.000 0.130 Sb
0.500 0.500 0.500 Sb
0.000 0.000 0.000 Rh
0.000 0.500 0.643 Rh
0.500 0.000 0.357 Rh
0.500 0.500 0.000 Rh
```

The value obtained for the formation energy (no corrections) is -8.7 eV/f.u.

***

Entry 6:
Compound: Pr2ErTa2Rh5
Source: Alexandria
Functional: PBE
Structure: relaxed

The structure in POSCAR format:
```
Pr2ErTa2Rh5
1.0
10.759 0.000 0.000
0.000 10.759 0.000
0.000 0.000 3.512
Pr Er Ta Rh
4 2 4 10
direct
0.175 0.325 0.000 Pr
0.325 0.825 0.000 Pr
0.675 0.175 0.000 Pr
0.825 0.675 0.000 Pr
0.000 0.000 0.000 Er
0.500 0.500 0.000 Er
0.128 0.628 0.000 Ta
0.372 0.128 0.000 Ta
0.628 0.872 0.000 Ta
0.872 0.372 0.000 Ta
0.000 0.500 0.500 Rh
0.053 0.789 0.500 Rh
0.211 0.053 0.500 Rh
0.289 0.553 0.500 Rh
0.447 0.289 0.500 Rh
0.500 0.000 0.500 Rh
0.553 0.711 0.500 Rh
0.711 0.447 0.500 Rh
0.789 0.947 0.500 Rh
0.947 0.211 0.500 Rh
```

The calculation puts the total energy at -7.91 eV per atom.

***

Entry 7:
Compound: PrErTlRh
Source: Alexandria
Functional: PBE
Structure: relaxed

The structure in POSCAR format:
```
PrErTlRh
1.0
0.000 3.678 3.678
3.678 0.000 3.678
3.678 3.678 0.000
Pr Er Tl Rh
1 1 1 1
direct
0.000 0.000 0.000 Pr
0.500 0.500 0.500 Er
0.750 0.750 0.750 Tl
0.250 0.250 0.250 Rh
```

The calculation puts the total energy at -5.19 eV per atom.

***

Entry 8:
Compound: PrErZnRh
Source: Alexandria
Functional: PBE
Structure: relaxed

The structure in POSCAR format:
```
PrErZnRh
1.0
0.000 3.553 3.553
3.553 0.000 3.553
3.553 3.553 0.000
Pr Er Zn Rh
1 1 1 1
direct
0.000 0.000 0.000 Pr
0.500 0.500 0.500 Er
0.250 0.250 0.250 Zn
0.750 0.750 0.750 Rh
```

Its excess energy over the best structure of this formula in the dataset is 17 meV per atom.

***

Entry 9:
Compound: PrErZnRh
Source: Alexandria
Functional: PBE
Structure: relaxed

The structure in POSCAR format:
```
PrErZnRh
1.0
4.397 0.000 0.000
0.000 1.976 5.387
0.000 -1.976 5.387
Pr Er Zn Rh
1 1 1 1
direct
0.000 0.000 0.000 Pr
0.500 0.719 0.719 Er
0.500 0.423 0.423 Zn
0.000 0.278 0.278 Rh
```

Its excess energy over the best structure of this formula in the dataset is 0 meV per atom.

***

Entry 10:
Compound: Pr3ErRu8
Source: Alexandria
Functional: PBE
Structure: relaxed

The structure in POSCAR format:
```
Pr3ErRu8
1.0
2.703 1.561 8.891
-2.703 1.561 8.891
0.000 -3.122 8.891
Pr Er Ru
3 1 8
direct
0.000 0.000 0.000 Pr
0.125 0.125 0.125 Pr
0.500 0.500 0.500 Pr
0.624 0.624 0.624 Er
0.058 0.058 0.574 Ru
0.058 0.574 0.058 Ru
0.064 0.558 0.558 Ru
0.307 0.307 0.307 Ru
0.558 0.064 0.558 Ru
0.558 0.558 0.064 Ru
0.574 0.058 0.058 Ru
0.808 0.808 0.808 Ru
```

The calculation puts the total energy at -7.91 eV per atom.

***

Entry 11:
Compound: PrEr5Ru4
Source: Alexandria
Functional: PBE
Structure: relaxed

The structure in POSCAR format:
```
PrEr5Ru4
1.0
3.388 0.000 0.000
0.000 3.388 0.000
0.000 0.000 19.213
Pr Er Ru
1 5 4
direct
0.000 0.000 0.000 Pr
0.500 0.500 0.152 Er
0.500 0.500 0.326 Er
0.500 0.500 0.500 Er
0.500 0.500 0.674 Er
0.500 0.500 0.848 Er
0.000 0.000 0.233 Ru
0.000 0.000 0.412 Ru
0.000 0.000 0.588 Ru
0.000 0.000 0.767 Ru
```

The calculation puts the total energy at -6.81 eV per atom.

***

Entry 12:
Compound: PrEr3Ru
Source: Alexandria
Functional: PBE
Structure: relaxed

The structure in POSCAR format:
```
PrEr3Ru
1.0
5.373 0.000 0.000
0.000 5.373 0.000
0.000 0.000 5.373
Pr Er Ru
1 3 1
direct
0.000 0.000 0.000 Pr
0.000 0.500 0.500 Er
0.500 0.000 0.500 Er
0.500 0.500 0.000 Er
0.500 0.500 0.500 Ru
```

Its excess energy over the best structure of this formula in the dataset is 142 meV per atom.

***

Entry 13:
Compound: Pr2ErRu
Source: Alexandria
Functional: PBE
Structure: relaxed

The structure in POSCAR format:
```
Pr2ErRu
1.0
3.549 0.000 0.000
0.000 3.549 0.000
0.000 0.000 9.116
Pr Er Ru
2 1 1
direct
0.000 0.000 0.191 Pr
0.000 0.000 0.809 Pr
0.500 0.500 0.500 Er
0.500 0.500 0.000 Ru
```

Its excess energy over the best structure of this formula in the dataset is 232 meV per atom.

***

Entry 14:
Compound: PrErRu
Source: Alexandria
Functional: PBE
Structure: relaxed

The structure in POSCAR format:
```
PrErRu
1.0
-1.724 1.724 6.640
1.724 -1.724 6.640
1.724 1.724 -6.640
Pr Er Ru
1 1 1
direct
0.000 0.000 0.000 Pr
0.253 0.253 0.000 Er
0.636 0.636 0.000 Ru
```

Its excess energy over the best structure of this formula in the dataset is 0 meV per atom.

***

Entry 15:
Compound: Pr2Er3Ru2
Source: Alexandria
Functional: PBE
Structure: relaxed

The structure in POSCAR format:
```
Pr2Er3Ru2
1.0
6.078 -1.932 0.000
6.078 1.932 0.000
-3.942 0.000 7.967
Pr Er Ru
2 3 2
direct
0.163 0.163 0.299 Pr
0.837 0.837 0.701 Pr
0.377 0.377 0.075 Er
0.500 0.500 0.500 Er
0.623 0.623 0.925 Er
0.175 0.175 0.735 Ru
0.825 0.825 0.265 Ru
```

The calculation puts the total energy at -6.27 eV per atom.

***

Entry 16:
Compound: PrErRu
Source: Alexandria
Functional: PBE
Structure: relaxed

The structure in POSCAR format:
```
PrErRu
1.0
0.000 3.432 3.432
3.432 0.000 3.432
3.432 3.432 0.000
Pr Er Ru
1 1 1
direct
0.000 0.000 0.000 Pr
0.500 0.500 0.500 Er
0.750 0.750 0.750 Ru
```

Its excess energy over the best structure of this formula in the dataset is 48 meV per atom.

***

Entry 17:
Compound: Pr3ErRu
Source: Alexandria
Functional: PBE
Structure: relaxed

The structure in POSCAR format:
```
Pr3ErRu
1.0
5.558 0.000 0.000
0.000 5.558 0.000
0.000 0.000 5.558
Pr Er Ru
3 1 1
direct
0.000 0.000 0.500 Pr
0.000 0.500 0.000 Pr
0.500 0.000 0.000 Pr
0.500 0.500 0.500 Er
0.000 0.000 0.000 Ru
```

The calculation puts the total energy at -5.56 eV per atom.

***

Entry 18:
Compound: Pr2ErRu
Source: Alexandria
Functional: PBE
Structure: relaxed

The structure in POSCAR format:
```
Pr2ErRu
1.0
7.377 0.000 0.000
0.000 9.736 0.000
0.000 0.000 6.394
Pr Er Ru
8 4 4
direct
0.177 0.065 0.171 Pr
0.177 0.435 0.171 Pr
0.323 0.565 0.671 Pr
0.323 0.935 0.671 Pr
0.677 0.065 0.329 Pr
0.677 0.435 0.329 Pr
0.823 0.565 0.829 Pr
0.823 0.935 0.829 Pr
0.045 0.250 0.648 Er
0.455 0.750 0.148 Er
0.545 0.250 0.852 Er
0.955 0.750 0.352 Er
0.115 0.750 0.962 Ru
0.385 0.250 0.462 Ru
0.615 0.750 0.538 Ru
0.885 0.250 0.038 Ru
```

Its excess energy over the best structure of this formula in the dataset is 0 meV per atom.

***

Entry 19:
Compound: PrEr3Ru
Source: Alexandria
Functional: PBE
Structure: relaxed

The structure in POSCAR format:
```
PrEr3Ru
1.0
8.634 0.000 0.000
0.000 3.811 0.000
-1.794 0.000 8.459
Pr Er Ru
2 6 2
direct
0.172 0.250 0.017 Pr
0.828 0.750 0.983 Pr
0.029 0.750 0.663 Er
0.338 0.750 0.393 Er
0.419 0.750 0.814 Er
0.581 0.250 0.186 Er
0.662 0.250 0.607 Er
0.971 0.250 0.337 Er
0.258 0.250 0.597 Ru
0.742 0.750 0.403 Ru
```

Its excess energy over the best structure of this formula in the dataset is 0 meV per atom.

***

Entry 20:
Compound: Pr2ErRu
Source: Alexandria
Functional: PBE
Structure: relaxed

The structure in POSCAR format:
```
Pr2ErRu
1.0
1.811 1.046 10.682
-1.811 1.046 10.682
0.000 -2.091 10.682
Pr Er Ru
2 1 1
direct
0.106 0.106 0.106 Pr
0.894 0.894 0.894 Pr
0.000 0.000 0.000 Er
0.500 0.500 0.500 Ru
```

Its excess energy over the best structure of this formula in the dataset is 457 meV per atom.

***

Entry 21:
Compound: PrErRu
Source: Alexandria
Functional: PBE
Structure: relaxed

The structure in POSCAR format:
```
PrErRu
1.0
8.581 0.000 0.000
0.000 8.581 0.000
0.000 0.000 4.347
Pr Er Ru
4 4 4
direct
0.058 0.717 0.000 Pr
0.283 0.058 0.500 Pr
0.717 0.942 0.500 Pr
0.942 0.283 0.000 Pr
0.332 0.376 0.000 Er
0.376 0.668 0.500 Er
0.624 0.332 0.500 Er
0.668 0.624 0.000 Er
0.129 0.414 0.500 Ru
0.414 0.871 0.000 Ru
0.586 0.129 0.000 Ru
0.871 0.586 0.500 Ru
```

Its excess energy over the best structure of this formula in the dataset is 47 meV per atom.

***

Entry 22:
Compound: TbPrErRu
Source: Alexandria
Functional: PBE
Structure: relaxed

The structure in POSCAR format:
```
TbPrErRu
1.0
3.448 0.000 0.000
0.000 3.448 0.000
0.000 0.000 9.094
Tb Pr Er Ru
1 1 1 1
direct
0.000 0.000 0.000 Tb
0.500 0.500 0.324 Pr
0.000 0.000 0.642 Er
0.500 0.500 0.818 Ru
```

The calculation puts the total energy at -6.05 eV per atom.

***

Entry 23:
Compound: PrErTlRu
Source: Alexandria
Functional: PBE
Structure: relaxed

The structure in POSCAR format:
```
PrErTlRu
1.0
0.000 3.656 3.656
3.656 0.000 3.656
3.656 3.656 0.000
Pr Er Tl Ru
1 1 1 1
direct
0.000 0.000 0.000 Pr
0.500 0.500 0.500 Er
0.250 0.250 0.250 Tl
0.750 0.750 0.750 Ru
```

The calculation puts the total energy at -5.42 eV per atom.

***

Entry 24:
Compound: Pr2ErS3
Source: Alexandria
Functional: PBE
Structure: relaxed

The structure in POSCAR format:
```
Pr2ErS3
1.0
-1.911 2.495 7.785
1.911 -2.495 7.785
1.911 2.495 -7.785
Pr Er S
2 1 3
direct
0.147 0.147 0.000 Pr
0.853 0.853 0.000 Pr
0.500 0.500 0.000 Er
0.000 0.500 0.500 S
0.329 0.329 0.000 S
0.671 0.671 0.000 S
```

Its excess energy over the best structure of this formula in the dataset is 282 meV per atom. The value obtained for the formation energy (no corrections) is -10.3 eV/f.u.

***

Entry 25:
Compound: PrErS3
Source: Alexandria
Functional: PBE
Structure: relaxed

The structure in POSCAR format:
```
PrErS3
1.0
7.246 -1.973 0.000
7.246 1.973 0.000
-0.419 0.000 8.631
Pr Er S
2 2 6
direct
0.115 0.115 0.088 Pr
0.885 0.885 0.912 Pr
0.328 0.328 0.365 Er
0.672 0.672 0.635 Er
0.142 0.142 0.434 S
0.244 0.244 0.836 S
0.463 0.463 0.163 S
0.537 0.537 0.837 S
0.756 0.756 0.164 S
0.858 0.858 0.566 S
```

Its excess energy over the best structure of this formula in the dataset is 61 meV per atom. The value obtained for the formation energy (no corrections) is -10.1 eV/f.u.

***

Listing V for the structures above in their given order: 28.70; 20.10; 20.63; 20.15; 22.20; 20.33; 24.89; 22.42; 23.41; 18.76; 22.05; 31.03; 28.70; 26.31; 26.73; 26.95; 34.35; 28.70; 27.83; 30.35; 26.67; 27.02; 24.42; 24.75; 24.67 Å³ per atom.